An optimized crystal structure of BeCo2Mo. Source: Alexandria, functional GGA-PBE.

Geometry as extended XYZ:
```
4
Lattice="-3.024 3.520 0.534 -2.413 2.656 2.990 1.630 3.691 0.892" Properties=species:S:1:pos:R:3 pbc="T T T"
Be -0.952 2.467 1.104
Mo -2.856 7.401 3.312
Co -5.240 6.108 3.451
Co -2.101 5.003 2.281
```

Values from the calculation:
energy of formation from the pure elements	-6	kJ/mol of formula units
symmetry	Immm, No. 71
DOS at the Fermi energy	0.699	states/eV per atom